CdSnSe2N | the Alexandria database | PBE | relaxed; Fermi-level density of states = 0.6882 states/eV/atom; ρ = 5.7 Mg/m³; VASP energy = -3.44 eV/atom; E above lowest polymorph = 0 meV per atom; symmetry = P4/mmm, No. 123; energy relative to the elements, uncorrected = 0.602 eV/atom
1.0
5.4055 0.0000 0.0000
0.0000 5.4055 0.0000
0.0000 0.0000 4.0500
N Sn Se Cd
1 1 2 1
Cartesian
0.0000 0.0000 2.0250
0.0000 0.0000 0.0000
0.0000 2.7027 0.0000
2.7027 0.0000 0.0000
2.7027 2.7027 2.0250